Version P
Ce8GaTc2: optimized geometry, PBE.

Structure (extended XYZ):
```
11
Lattice="5.6725 0.0000 0.0000 -0.5080 6.4830 0.0000 -2.5429 -3.2412 7.1717" Properties=species:S:1:pos:R:3 pbc="T T T"
Ce 0.0000 0.0000 0.0000
Ce -0.3270 2.8603 0.3365
Ce -0.2974 2.8666 4.9104
Ce 0.0496 -0.0026 5.2469
Ce 1.2720 2.0631 2.6105
Ce 2.4062 4.7988 0.9367
Ce 2.9318 -1.7135 4.2959
Ce 3.8394 0.8827 2.6432
Ga -0.3434 4.9361 2.6214
Tc 0.1655 -1.7401 6.9984
Tc 2.7401 1.5156 5.4073
```

* space-group type: P1
* V: 263.7 Å³/f.u.
* D(E_F): 2.615 states/eV per atom

***

Version Q
Ce8GaTc2: optimized geometry, PBE.

Structure (extended XYZ):
```
11
Lattice="4.1799 -6.7194 0.0000 4.1799 6.7194 0.0000 -1.4275 0.0000 4.8669" Properties=species:S:1:pos:R:3 pbc="T T T"
Ce 0.6761 1.4087 2.7962
Ce 4.1799 3.3872 0.0000
Ce 0.6761 -1.4087 2.7962
Ce 3.1199 0.0000 0.9420
Ce 3.8125 0.0000 3.9249
Ce 6.2563 1.4087 2.0707
Ce 4.1799 -3.3872 0.0000
Ce 6.2563 -1.4087 2.0707
Ga 0.0000 0.0000 0.0000
Tc 3.4662 2.6176 2.4335
Tc 3.4662 -2.6176 2.4335
```

* space-group type: C2/m
* V: 273.4 Å³/f.u.
* D(E_F): 2.318 states/eV per atom

***

Most stable to least stable, the ends of the list are version P and version Q.

***

Version P
Ce2Ga3Tc: optimized geometry, PBE.

Structure (extended XYZ):
```
6
Lattice="2.7517 1.5887 4.4377 -2.7517 1.5887 4.4377 0.0000 -3.1774 4.4377" Properties=species:S:1:pos:R:3 pbc="T T T"
Ce 0.0000 0.0000 1.6779
Ce 0.0000 0.0000 11.6352
Ga -1.3758 -0.7943 4.4377
Ga -1.3758 0.7943 8.8754
Ga 0.0000 1.5887 4.4377
Tc 0.0000 0.0000 6.6566
```

* space-group type: R-3m
* V: 116.4 Å³/f.u.
* D(E_F): 1.343 states/eV per atom

***

Version Q
Ce2Ga3Tc: optimized geometry, PBE.

Structure (extended XYZ):
```
12
Lattice="0.0000 4.5638 7.6637 3.5728 0.0000 7.6637 3.5728 4.5638 0.0000" Properties=species:S:1:pos:R:3 pbc="T T T"
Ce 5.4476 4.5638 7.6637
Ce 1.7864 2.2819 3.8319
Ce 5.3592 6.8457 11.4956
Ce 1.6979 4.5638 7.6637
Ga 3.5728 2.3062 6.3787
Ga 3.5728 4.5638 5.0350
Ga 3.5728 2.3062 8.9487
Ga 3.5728 6.8214 6.3787
Ga 3.5728 4.5638 10.2924
Ga 3.5728 6.8214 8.9487
Tc 3.5728 4.5638 2.3937
Tc 3.5728 4.5638 12.9337
```

* space-group type: Fmmm
* V: 125.0 Å³/f.u.
* D(E_F): 1.266 states/eV per atom

***

Most stable to least stable, the ends of the list are version P and version Q.

***

Version P
Ce2GaTc3: optimized geometry, PBE.

Structure (extended XYZ):
```
6
Lattice="4.6404 -2.7005 0.0000 4.6404 2.7005 0.0000 -3.1063 0.0000 4.4698" Properties=species:S:1:pos:R:3 pbc="T T T"
Ce -0.0105 0.0000 1.6272
Ce 6.1850 0.0000 2.8426
Ga 3.0872 0.0000 2.2349
Tc 2.3202 1.3503 0.0000
Tc 2.3202 -1.3503 0.0000
Tc 4.6404 0.0000 0.0000
```

* space-group type: C2/m
* V: 112.0 Å³/f.u.
* D(E_F): 1.277 states/eV per atom

***

Version Q
Ce2GaTc3: optimized geometry, PBE.

Structure (extended XYZ):
```
12
Lattice="5.3922 0.0000 0.0000 -2.6961 4.6698 0.0000 0.0000 0.0000 8.9501" Properties=species:S:1:pos:R:3 pbc="T T T"
Ce 0.0000 3.1132 0.6963
Ce 0.0000 3.1132 3.7788
Ce 2.6961 1.5566 5.1714
Ce 2.6961 1.5566 8.2538
Ga 0.0000 0.0000 0.0000
Ga 0.0000 0.0000 4.4751
Tc 0.0000 1.5974 6.7126
Tc -1.3127 3.8711 6.7126
Tc 1.3834 0.7987 2.2375
Tc 1.3127 3.8711 6.7126
Tc 4.0088 0.7987 2.2375
Tc 2.6961 3.0723 2.2375
```

* space-group type: P6_3/mmc
* V: 112.7 Å³/f.u.
* D(E_F): 1.412 states/eV per atom

***

Most stable to least stable, the ends of the list are version P and version Q.

***

Version P
Ce2GaTe: optimized geometry, PBE.

Structure (extended XYZ):
```
4
Lattice="2.1849 1.2615 7.1997 -2.1849 1.2615 7.1997 0.0000 -2.5229 7.1997" Properties=species:S:1:pos:R:3 pbc="T T T"
Ce 0.0000 0.0000 5.2724
Ce 0.0000 0.0000 16.3266
Ga 0.0000 0.0000 10.7995
Te 0.0000 0.0000 0.0000
```

* space-group type: R-3m
* V: 119.1 Å³/f.u.
* D(E_F): 2.994 states/eV per atom

***

Version Q
Ce2GaTe: optimized geometry, PBE.

Structure (extended XYZ):
```
4
Lattice="3.6564 0.0000 0.0000 0.0000 3.6564 0.0000 0.0000 0.0000 7.9350" Properties=species:S:1:pos:R:3 pbc="T T T"
Ce 0.0000 0.0000 1.9347
Ce 0.0000 0.0000 6.0003
Ga 1.8282 1.8282 0.0000
Te 1.8282 1.8282 3.9675
```

* space-group type: P4/mmm
* V: 106.1 Å³/f.u.
* D(E_F): 2.925 states/eV per atom

***

Version R
Ce2GaTe: optimized geometry, PBE.

Structure (extended XYZ):
```
8
Lattice="2.2640 -11.8907 0.0000 2.2640 11.8907 0.0000 0.0000 0.0000 4.2934" Properties=species:S:1:pos:R:3 pbc="T T T"
Ce 2.2640 10.4696 3.2200
Ce 2.2640 4.1137 3.2200
Ce 2.2640 -4.1137 1.0733
Ce 2.2640 -10.4696 1.0733
Ga 2.2640 0.8767 3.2200
Ga 2.2640 -0.8767 1.0733
Te 2.2640 7.3279 3.2200
Te 2.2640 -7.3279 1.0733
```

* space-group type: Cmcm
* V: 115.6 Å³/f.u.
* D(E_F): 3.264 states/eV per atom

***

Most stable to least stable, the ends of the list are version R and version Q.